An optimized crystal structure of PmMnO2, computed with PBE with a Hubbard U. Values from VASP.

```
&SYSTEM
  ibrav = 0, nat = 4, ntyp = 3
/
ATOMIC_SPECIES
Pm 145.00 Pm.upf
Mn 54.94 Mn.upf
O 16.00 O.upf
CELL_PARAMETERS angstrom
1.8650 1.0768 5.9026
-1.8650 1.0768 5.9026
0.0000 -2.1535 5.9026
ATOMIC_POSITIONS crystal
Pm 0.0000 0.0000 0.0000
Mn 0.5000 0.5000 0.5000
O 0.3919 0.3919 0.3919
O 0.6081 0.6081 0.6081
```

VASP energy   -7.87 eV per atom
Density of states at the Fermi level   0.4 states/eV/f.u.